The following is a PBE calculation of a relaxed structure of AlSbMo2, from the Alexandria database.

Calculated values
- Final energy: -6.9585 eV per atom
- Formation energy (no corrections): 0.423 eV/atom

```
data_AlSbMo2
_chemical_formula_sum 'Al4 Sb4 Mo8'
_symmetry_space_group_name_H-M 'I -4 2 d'
_symmetry_Int_Tables_number 122
_symmetry_space_group_name_Hall 'I -4 2bw'
_cell_length_a 4.0055
_cell_length_b 4.0055
_cell_length_c 19.0541
_cell_angle_alpha 90.00
_cell_angle_beta 90.00
_cell_angle_gamma 90.00
loop_
_atom_site_label
_atom_site_type_symbol
_atom_site_fract_x
_atom_site_fract_y
_atom_site_fract_z
_atom_site_occupancy
Al1 Al 0.0000 0.0000 0.0000 1
Sb1 Sb 0.0000 0.0000 0.5000 1
Mo1 Mo 0.1945 0.2500 0.1250 1
```